<a>
# Li4InBi2

An optimized crystal structure of Li4InBi2 (GGA-PBE, the Alexandria database).

Cell and atoms, written as CIF:
```
data_Li4InBi2
_cell_length_a 4.844
_cell_length_b 4.844
_cell_length_c 8.433
_cell_angle_alpha 73.31
_cell_angle_beta 73.31
_cell_angle_gamma 60.00
_symmetry_space_group_name_H-M 'P 1'
_symmetry_Int_Tables_number 1
loop_
_symmetry_equiv_pos_as_xyz
'x,y,z'
loop_
_atom_site_label
_atom_site_type_symbol
_atom_site_fract_x
_atom_site_fract_y
_atom_site_fract_z
In1 In 0.000 0.000 0.000
Bi1 Bi 0.751 0.751 0.748
Bi2 Bi 0.249 0.249 0.252
Li1 Li 0.128 0.128 0.617
Li2 Li 0.872 0.872 0.383
Li3 Li 0.379 0.379 0.863
Li4 Li 0.621 0.621 0.137
```

## Properties
Space group   R-3m, No. 166


<b>
# Li4InBi2

An optimized crystal structure of Li4InBi2 (GGA-PBE, the Alexandria database).

Cell and atoms, written as CIF:
```
data_Li4InBi2
_cell_length_a 7.679
_cell_length_b 5.462
_cell_length_c 8.981
_cell_angle_alpha 90.00
_cell_angle_beta 119.43
_cell_angle_gamma 90.00
_symmetry_space_group_name_H-M 'P 1'
_symmetry_Int_Tables_number 1
loop_
_symmetry_equiv_pos_as_xyz
'x,y,z'
loop_
_atom_site_label
_atom_site_type_symbol
_atom_site_fract_x
_atom_site_fract_y
_atom_site_fract_z
Li1 Li 0.503 0.503 0.686
Li2 Li 0.497 0.497 0.314
Li3 Li 0.497 0.003 0.314
Li4 Li 0.014 0.250 0.607
Li5 Li 0.786 0.250 0.163
Li6 Li 0.214 0.750 0.837
Li7 Li 0.503 0.997 0.686
Li8 Li 0.986 0.750 0.393
Bi1 Bi 0.199 0.250 0.395
Bi2 Bi 0.662 0.750 0.017
Bi3 Bi 0.801 0.750 0.605
Bi4 Bi 0.338 0.250 0.983
In1 In 0.111 0.750 0.122
In2 In 0.889 0.250 0.878
```

## Properties
Space group   P2_1/m, No. 11


Of them, <a> has the highest stability.